A | ScSbO2: relaxed, GGA-PBE.

Cell lengths 5.447, 5.447, 9.538 Å; angles 90.00, 90.00, 90.00 degrees
Space group I-42d (No. 122)
Symmetry-distinct sites (fractional):
Sc 0.000 0.000 0.000 [4 per cell]
Sb 0.000 0.000 0.500 [4 per cell]
O 0.152 0.250 0.125 [8 per cell]

Output
Calculated volume: 17.685 Å³ per atom
Theoretical density: 4.665 g/cm³



B | ScSbO2: relaxed, GGA-PBE.

Cell lengths 5.985, 5.985, 5.985 Å; angles 90.00, 90.00, 90.00 degrees
Space group Fm-3m (No. 225)
Symmetry-distinct sites (fractional):
Sc 0.000 0.000 0.000 [4 per cell]
Sb 0.000 0.000 0.500 [4 per cell]
O 0.250 0.250 0.250 [8 per cell]

Output
Calculated volume: 13.398 Å³ per atom
Theoretical density: 6.157 g/cm³



C | ScSbO2: relaxed, GGA-PBE.

Cell lengths 3.2416, 3.2416, 19.9213 Å; angles 90.00, 90.00, 120.00 degrees
Space group R-3m (No. 166, hexagonal axes)
Symmetry-distinct sites (fractional):
Sc 0.0000 0.0000 0.0000 [3 per cell]
Sb 0.0000 0.0000 0.5000 [3 per cell]
O 0.0000 0.0000 0.3852 [6 per cell]

Output
Calculated volume: 15.107 Å³ per atom
Theoretical density: 5.460 g/cm³



Bottom line: C, by a margin of 0.481 eV/atom.



A | ScSbTe2O: relaxed, GGA-PBE.

Cell lengths 5.369, 5.369, 5.518 Å; angles 90.00, 90.00, 90.00 degrees
Space group P4/mmm (No. 123)
Symmetry-distinct sites (fractional):
Sc 0.000 0.000 0.000 [1 per cell]
Sb 0.000 0.000 0.500 [1 per cell]
Te 0.000 0.500 0.000 [2 per cell]
O 0.500 0.500 0.500 [1 per cell]

Output
Calculated volume: 31.809 Å³ per atom
Theoretical density: 4.572 g/cm³



B | ScSbTe2O: relaxed, GGA-PBE.

Cell lengths 4.890, 4.890, 4.696 Å; angles 90.00, 90.00, 90.00 degrees
Space group P4/mmm (No. 123)
Symmetry-distinct sites (fractional):
Sc 0.000 0.000 0.000 [1 per cell]
Sb 0.500 0.500 0.000 [1 per cell]
Te 0.000 0.500 0.500 [2 per cell]
O 0.500 0.500 0.500 [1 per cell]

Output
Calculated volume: 22.463 Å³ per atom
Theoretical density: 6.475 g/cm³



Bottom line: B, by a margin of 0.824 eV/atom.



A | SbSeO5: relaxed, GGA-PBE.

Cell lengths 5.499, 5.906, 7.733 Å; angles 110.68, 109.00, 90.13 degrees
Space group P-1 (No. 2)
Symmetry-distinct sites (fractional):
Sb 0.000 0.000 0.000 [1 per cell]
Sb 0.000 0.000 0.500 [1 per cell]
Se 0.398 0.636 0.263 [2 per cell]
O 0.085 0.962 0.746 [2 per cell]
O 0.272 0.324 0.635 [2 per cell]
O 0.296 0.782 0.456 [2 per cell]
O 0.299 0.745 0.082 [2 per cell]
O 0.310 0.338 0.184 [2 per cell]

Output
Calculated volume: 15.729 Å³ per atom
Theoretical density: 4.234 g/cm³



B | SbSeO5: relaxed, GGA-PBE.

Cell lengths 5.284, 9.653, 9.713 Å; angles 90.00, 90.00, 90.00 degrees
Space group P2_12_12_1 (No. 19)
Symmetry-distinct sites (fractional):
Sb 0.125 0.157 0.407 [4 per cell]
Se 0.124 0.534 0.785 [4 per cell]
O 0.044 0.510 0.955 [4 per cell]
O 0.121 0.010 0.825 [4 per cell]
O 0.122 0.803 0.050 [4 per cell]
O 0.135 0.577 0.258 [4 per cell]
O 0.207 0.705 0.760 [4 per cell]

Output
Calculated volume: 17.692 Å³ per atom
Theoretical density: 3.764 g/cm³



Bottom line: B, by a margin of 0.005 eV/atom.



A | SbSeO2: relaxed, GGA-PBE.

Cell lengths 6.048, 6.048, 6.048 Å; angles 90.00, 90.00, 90.00 degrees
Space group Fm-3m (No. 225)
Symmetry-distinct sites (fractional):
Sb 0.000 0.000 0.000 [4 per cell]
Se 0.000 0.000 0.500 [4 per cell]
O 0.250 0.250 0.250 [8 per cell]

Output
Calculated volume: 13.824 Å³ per atom
Theoretical density: 6.989 g/cm³



B | SbSeO2: relaxed, GGA-PBE.

Cell lengths 3.5071, 3.5071, 19.3828 Å; angles 90.00, 90.00, 120.00 degrees
Space group R-3m (No. 166, hexagonal axes)
Symmetry-distinct sites (fractional):
Sb 0.0000 0.0000 0.0000 [3 per cell]
Se 0.0000 0.0000 0.5000 [3 per cell]
O 0.0000 0.0000 0.3924 [6 per cell]

Output
Calculated volume: 17.205 Å³ per atom
Theoretical density: 5.615 g/cm³



C | SbSeO2: relaxed, GGA-PBE.

Cell lengths 6.393, 6.393, 9.067 Å; angles 90.00, 90.00, 90.00 degrees
Space group I-42d (No. 122)
Symmetry-distinct sites (fractional):
Sb 0.000 0.000 0.000 [4 per cell]
Se 0.000 0.000 0.500 [4 per cell]
O 0.025 0.250 0.125 [8 per cell]

Output
Calculated volume: 23.159 Å³ per atom
Theoretical density: 4.172 g/cm³



D | SbSeO2: relaxed, GGA-PBE.

Cell lengths 3.3929, 3.3929, 19.5862 Å; angles 90.00, 90.00, 120.00 degrees
Space group R-3m (No. 166, hexagonal axes)
Symmetry-distinct sites (fractional):
Sb 0.0000 0.0000 0.0000 [3 per cell]
Se 0.0000 0.0000 0.5000 [3 per cell]
O 0.0000 0.0000 0.1167 [6 per cell]

Output
Calculated volume: 16.272 Å³ per atom
Theoretical density: 5.937 g/cm³



Bottom line: B, by a margin of 0.191 eV/atom.



A | SbSeO: relaxed, GGA-PBE.

Cell lengths 3.6231, 3.6231, 6.2260 Å; angles 90.00, 90.00, 120.00 degrees
Space group P3m1 (No. 156)
Symmetry-distinct sites (fractional):
Sb 0.0000 0.0000 0.0000 [1 per cell]
Se 0.6667 0.3333 0.7207 [1 per cell]
O 0.3333 0.6667 0.1418 [1 per cell]

Output
Calculated volume: 23.592 Å³ per atom
Theoretical density: 5.085 g/cm³



B | SbSeO: relaxed, GGA-PBE.

Cell lengths 3.956, 4.564, 7.890 Å; angles 82.93, 75.63, 89.99 degrees
Space group P1 (No. 1)
Symmetry-distinct sites (fractional):
Sb 0.000 0.000 0.000 [1 per cell]
Sb 0.333 0.671 0.339 [1 per cell]
Se 0.670 0.686 0.808 [1 per cell]
Se 0.812 0.986 0.530 [1 per cell]
O 0.015 0.628 0.167 [1 per cell]
O 0.512 0.044 0.172 [1 per cell]

Output
Calculated volume: 22.811 Å³ per atom
Theoretical density: 5.259 g/cm³



C | SbSeO: relaxed, GGA-PBE.

Cell lengths 5.884, 3.734, 6.594 Å; angles 90.00, 111.75, 90.00 degrees
Space group P2_1/m (No. 11)
Symmetry-distinct sites (fractional):
Sb 0.249 0.250 0.026 [2 per cell]
Se 0.462 0.250 0.665 [2 per cell]
O 0.040 0.750 0.874 [2 per cell]

Output
Calculated volume: 22.428 Å³ per atom
Theoretical density: 5.348 g/cm³



Bottom line: B, by a margin of 0.142 eV/atom.



A | Sb2SeO: relaxed, GGA-PBE.

Cell lengths 5.204, 5.204, 14.645 Å; angles 90.00, 90.00, 90.00 degrees
Space group I-42d (No. 122)
Symmetry-distinct sites (fractional):
Sb 0.139 0.250 0.125 [8 per cell]
Se 0.000 0.000 0.500 [4 per cell]
O 0.000 0.000 0.000 [4 per cell]

Output
Calculated volume: 24.784 Å³ per atom
Theoretical density: 5.669 g/cm³



B | Sb2SeO: relaxed, GGA-PBE.

Cell lengths 6.800, 6.800, 6.800 Å; angles 90.00, 90.00, 90.00 degrees
Space group Fm-3m (No. 225)
Symmetry-distinct sites (fractional):
Sb 0.250 0.250 0.250 [8 per cell]
Se 0.000 0.000 0.000 [4 per cell]
O 0.000 0.000 0.500 [4 per cell]

Output
Calculated volume: 19.651 Å³ per atom
Theoretical density: 7.150 g/cm³



Bottom line: A, by a margin of 0.427 eV/atom.



A | SbSe3O: relaxed, GGA-PBE.

Cell lengths 4.599, 4.599, 4.599 Å; angles 90.00, 90.00, 90.00 degrees
Space group Pm-3m (No. 221)
Symmetry-distinct sites (fractional):
Sb 0.000 0.000 0.000 [1 per cell]
Se 0.000 0.500 0.500 [3 per cell]
O 0.500 0.500 0.500 [1 per cell]

Output
Calculated volume: 19.451 Å³ per atom
Theoretical density: 6.397 g/cm³



B | SbSe3O: relaxed, GGA-PBE.

Cell lengths 5.290, 5.290, 5.290 Å; angles 90.00, 90.00, 90.00 degrees
Space group Pm-3m (No. 221)
Symmetry-distinct sites (fractional):
Sb 0.000 0.000 0.000 [1 per cell]
Se 0.000 0.000 0.500 [3 per cell]
O 0.500 0.500 0.500 [1 per cell]

Output
Calculated volume: 29.607 Å³ per atom
Theoretical density: 4.202 g/cm³



Bottom line: A, by a margin of 0.853 eV/atom.



A | Sb2TeSeO: relaxed, GGA-PBE.

Cell lengths 4.944, 4.944, 4.696 Å; angles 90.00, 90.00, 90.00 degrees
Space group P4/mmm (No. 123)
Symmetry-distinct sites (fractional):
Sb 0.000 0.500 0.000 [2 per cell]
Te 0.000 0.000 0.500 [1 per cell]
Se 0.500 0.500 0.500 [1 per cell]
O 0.000 0.000 0.000 [1 per cell]

Output
Calculated volume: 22.957 Å³ per atom
Theoretical density: 6.743 g/cm³



B | Sb2TeSeO: relaxed, GGA-PBE.

Cell lengths 5.410, 5.410, 5.353 Å; angles 90.00, 90.00, 90.00 degrees
Space group P4/mmm (No. 123)
Symmetry-distinct sites (fractional):
Sb 0.000 0.500 0.000 [2 per cell]
Te 0.000 0.000 0.500 [1 per cell]
Se 0.000 0.000 0.000 [1 per cell]
O 0.500 0.500 0.500 [1 per cell]

Output
Calculated volume: 31.339 Å³ per atom
Theoretical density: 4.939 g/cm³



Bottom line: A, by a margin of 0.898 eV/atom.